Material: Ba2MgFe2B2P4O18
Method: DFT, PBE+U
State: relaxed

Cell: 5.4107 8.2133 8.3457 Å, 89.74 92.29 99.42°
Site moments in Bohr magnetons follow the coordinates.
Fractional coordinates of all 29 atoms:
O  0.0067  0.1938  0.5714  0.02
Mg  0.4945  0.5000  0.0025  0.00
O  0.5471  0.1914  0.6164  0.01
Fe  0.7334  0.8012  0.2118  3.78
P  0.7929  0.2974  0.5670  0.00
O  0.7217  0.0515  0.1898  0.02
O  0.0228  0.6654  0.8578  0.00
O  0.2662  0.9485  0.8157  0.02
P  0.7730  0.1896  0.0616  0.01
O  0.8922  0.1354  0.9139  0.01
B  0.1082  0.5417  0.7434  0.00
O  0.5221  0.2553  0.0231  0.01
O  0.7338  0.3546  0.3916  0.00
Fe  0.2546  0.1988  0.7934  3.78
O  0.2539  0.6456  0.6139  0.00
O  0.2631  0.4419  0.8188  0.03
Ba  0.7141  0.8816  0.6906  0.00
O  0.4658  0.7447  0.9824  0.02
O  0.9812  0.8063  0.4338  0.02
O  0.0956  0.8645  0.0916  0.01
O  0.7249  0.5581  0.1865  0.03
O  0.8616  0.4561  0.6734  0.00
O  0.4409  0.8085  0.3890  0.01
Ba  0.2738  0.1185  0.3148  0.00
O  0.1263  0.5439  0.3321  0.00
B  0.8797  0.4583  0.2620  0.00
P  0.1950  0.7026  0.4384  0.00
P  0.2148  0.8103  0.9439  0.01
O  0.9650  0.3345  0.1477  0.00

ρ   3.834 Mg/m³
Raw total energy   -7.2987 eV per atom
Fermi-level density of states   0.000 states/eV per atom
Total magnetization   8.0 μB/f.u.